A relaxed structure of AlZnGe2O. Source: the Alexandria database, functional GGA-PBE.

Calculated values
V ... 84.5 Å³ per cell
ρ ... 4.99 g/cm3
E_form (uncorrected) ... -16 meV per atom
Uncorrected energy ... -19.29 eV per cell
DOS at the Fermi energy ... 2.4 states/eV/f.u.
Total moment ... 0.00 μB per cell

```
data_AlZnGe2O
_chemical_formula_sum 'Al1 Zn1 Ge2 O1'
_cell_length_a 4.577
_cell_length_b 4.577
_cell_length_c 4.033
_cell_angle_alpha 90.00
_cell_angle_beta 90.00
_cell_angle_gamma 90.00
_space_group_name_H-M_alt 'P 4/m m m'
_space_group_IT_number 123
_space_group_name_Hall '-P 4 2'
loop_
_atom_site_label
_atom_site_type_symbol
_atom_site_fract_x
_atom_site_fract_y
_atom_site_fract_z
Al1 Al 0.000 0.000 0.000
Zn1 Zn 0.500 0.500 0.000
Ge1 Ge 0.000 0.500 0.500
O1 O 0.500 0.500 0.500
```

A relaxed structure of TiBi3Pd. Source: the Alexandria database, functional GGA-PBE.

Calculated values
V ... 153.7 Å³ per cell
ρ ... 8.44 g/cm3
Polymorph energy (0 for the lowest one) ... 130 meV per atom
Uncorrected energy ... -21.93 eV per cell
DOS at the Fermi energy ... 7.5 states/eV/f.u.
Total moment ... 1.87 μB per cell
E_form ... 12.91 kcal/mol of atoms

```
data_TiBi3Pd
_chemical_formula_sum 'Ti1 Bi3 Pd1'
_cell_length_a 5.356
_cell_length_b 5.356
_cell_length_c 5.356
_cell_angle_alpha 90.00
_cell_angle_beta 90.00
_cell_angle_gamma 90.00
_space_group_name_H-M_alt 'P m -3 m'
_space_group_IT_number 221
_space_group_name_Hall '-P 4 2 3'
loop_
_atom_site_label
_atom_site_type_symbol
_atom_site_fract_x
_atom_site_fract_y
_atom_site_fract_z
Ti1 Ti 0.000 0.000 0.000
Bi1 Bi 0.000 0.500 0.500
Pd1 Pd 0.500 0.500 0.500
```

Question: Number 1 is which compound?
Answer: AlZnGe2O